Record 1
A plane-wave DFT calculation with PBE was carried out for a geometry-optimized MgCo2Ag2 structure.

abc: 7.630 7.630 2.817
angles: 90.00 90.00 90.00
Last column: magnetic moment on the atom in μB.
Positions (direct):
Ag (0.686, 0.186, 0.000)  0.00
Ag (0.314, 0.814, 0.000)  0.00
Ag (0.186, 0.314, 0.000)  -0.01
Ag (0.814, 0.686, 0.000)  -0.01
Co (0.106, 0.606, 0.500)  1.74
Co (0.394, 0.106, 0.500)  1.78
Co (0.606, 0.894, 0.500)  1.78
Co (0.894, 0.394, 0.500)  1.74
Mg (0.500, 0.500, 0.000)  0.00
Mg (0.000, 0.000, 0.000)  0.00

Energy above the lowest structure with this stoichiometry (meV per atom): 130.8
Symmetry: No. 127
Formation energy from the elements (kJ/mol of atoms): 40
Crystal system: tetragonal


Record 2
A plane-wave DFT calculation with PBE was carried out for a geometry-optimized FeTc structure.

abc: 2.727 8.507 2.727
angles: 99.22 60.00 99.22
Last column: magnetic moment on the atom in μB.
Positions (direct):
Tc (0.749, 0.246, 0.749)  0.03
Tc (0.501, 0.504, 0.501)  0.03
Fe (0.996, 0.988, 0.996)  2.52
Fe (0.254, 0.762, 0.254)  2.52

Symmetry: No. 166
Formation energy from the elements (kJ/mol of atoms): 14
Crystal system: trigonal


Record 3
A plane-wave DFT calculation with PBE was carried out for a geometry-optimized Zr2Mo2Se structure.

abc: 7.495 7.495 3.576
angles: 90.00 90.00 90.00
Positions (direct):
Zr (0.686, 0.814, 0.500)
Zr (0.186, 0.686, 0.500)
Zr (0.314, 0.186, 0.500)
Zr (0.814, 0.314, 0.500)
Se (0.500, 0.500, 0.000)
Se (0.000, 0.000, 0.000)
Mo (0.392, 0.892, 0.000)
Mo (0.608, 0.108, 0.000)
Mo (0.892, 0.608, 0.000)
Mo (0.108, 0.392, 0.000)

Energy above the lowest structure with this stoichiometry (meV per atom): 0.0
Symmetry: No. 127
Crystal system: tetragonal